# 1
Ac7Hg2Ir2 | GGA-PBE | optimized geometry

Structure (POSCAR):
```
Ac7Hg2Ir2
1.0
7.3725 -0.0029 -0.9566
0.0033 7.7009 0.0035
-1.4141 -0.0026 7.2986
Ac Hg Ir
7 2 2
Cartesian
6.6643 1.9349 2.6962
2.2773 5.7579 6.8211
-0.7026 5.7606 3.6493
3.6843 1.9376 -0.4756
0.0000 0.0000 0.0000
2.9836 5.8191 3.1719
2.9781 1.8763 3.1736
4.9268 3.8460 5.2440
1.0349 3.8495 1.1015
4.8167 7.6979 1.4512
1.1450 -0.0025 4.8943
```

Values from the calculation:
* energy: -4.669 eV per atom
* V: 36.7 A^3/atom
* crystal system: orthorhombic
* ΔE_f: -4.3 eV per formula unit


# 2
Ac2HgIr | GGA-PBE | optimized geometry

Structure (POSCAR):
```
Ac2HgIr
1.0
3.7994 0.0000 0.0000
0.0000 3.7994 0.0000
0.0000 0.0000 8.1506
Ac Ir Hg
2 1 1
Cartesian
0.0000 0.0000 6.3830
0.0000 0.0000 1.7675
1.8997 1.8997 0.0000
1.8997 1.8997 4.0753
```

Values from the calculation:
* energy: -4.839 eV per atom
* V: 29.4 A^3/atom
* crystal system: tetragonal
* energy above the most stable polymorph in this dataset: 118.7 meV/atom
* ΔE_f: -2.0 eV per formula unit


# 3
Ac12Hg5Ir2 | GGA-PBE | optimized geometry

Structure (POSCAR):
```
Ac12Hg5Ir2
1.0
8.6737 0.0000 0.0000
-4.3368 9.0257 0.1813
0.0000 -2.9768 9.7284
Ac Hg Ir
12 5 2
Cartesian
4.3368 8.0315 1.8843
-2.0776 3.3047 8.8023
2.0776 3.3047 8.8023
-2.1144 5.1639 4.3931
2.1144 5.1639 4.3931
4.3368 -2.3032 7.7213
0.0000 8.3521 2.1883
6.4512 0.8850 5.5166
2.2224 0.8850 5.5166
6.4144 2.7442 1.1074
2.2593 2.7442 1.1074
0.0000 -1.9826 8.0254
0.0000 3.3412 6.1917
0.0000 5.0935 1.6800
0.0000 -1.4884 4.8642
4.3368 0.9554 8.2296
4.3368 2.7077 3.7180
6.4651 0.0000 0.0000
2.2086 0.0000 0.0000
```

Values from the calculation:
* energy: -3.933 eV per atom
* V: 40.3 A^3/atom
* crystal system: monoclinic
* ΔE_f: -6.2 eV per formula unit


# 4
Ac8HgIr6 | GGA-PBE | optimized geometry

Structure (POSCAR):
```
Ac8HgIr6
1.0
-4.2055 -1.5022 -0.8171
1.9542 -8.9883 6.4661
-4.2310 9.3769 4.5377
Ac Hg Ir
8 1 6
Cartesian
-2.6160 -6.8194 7.1479
-4.5640 -1.1206 6.6972
-2.5725 -4.0279 1.7926
-3.8664 5.7059 3.0388
-1.9184 0.0071 3.4894
-3.9098 2.9143 8.3941
-5.3198 2.1299 4.5683
-1.1626 -3.2434 5.6183
-2.1028 -0.7511 -0.4086
-2.5114 -5.6724 4.4084
-3.6756 -3.9164 7.1723
-3.6118 -2.3956 4.0480
-3.9710 4.5589 5.7783
-2.8067 2.8029 3.0144
-2.8706 1.2821 6.1386
```

Values from the calculation:
* energy: -6.291 eV per atom
* V: 33.1 A^3/atom
* crystal system: trigonal
* ΔE_f: -8.0 eV per formula unit


# 5
Ac4Hg5Ir2 | GGA-PBE | optimized geometry

Structure (POSCAR):
```
Ac4Hg5Ir2
1.0
-3.9402 0.4936 0.8722
0.7719 -4.9535 6.2904
2.1833 8.1945 5.2260
Ac Hg Ir
4 5 2
Cartesian
-0.1367 1.0074 8.2885
0.0213 6.2600 6.0297
-0.8484 2.7272 4.1000
-1.0063 -2.5254 6.3589
1.1421 -0.0085 5.1643
0.4389 0.3399 1.7905
0.3860 -2.4768 3.1452
2.5163 2.9011 9.7259
1.8131 3.2495 6.3520
1.4550 4.8684 3.8183
1.5002 -1.6274 7.6981
```

Values from the calculation:
* energy: -3.754 eV per atom
* V: 29.5 A^3/atom
* crystal system: monoclinic
* ΔE_f: -5.6 eV per formula unit


# 6
Ac4HgIr | GGA-PBE | optimized geometry

Structure (POSCAR):
```
Ac4HgIr
1.0
4.3436 0.0111 0.0096
-0.0209 6.9522 1.5753
-0.0239 2.2169 8.6764
Ac Hg Ir
4 1 1
Cartesian
2.1506 7.4073 3.9354
2.1598 1.7269 6.2848
-0.0223 5.3130 6.9443
-0.0109 3.8101 3.2670
2.1432 5.6760 9.4486
-0.0271 8.0374 5.8929
```

Values from the calculation:
* energy: -4.642 eV per atom
* V: 41.1 A^3/atom
* crystal system: monoclinic
* energy above the most stable polymorph in this dataset: 60.0 meV/atom
* ΔE_f: -2.3 eV per formula unit


# 7
Ac5Hg2Ir | GGA-PBE | optimized geometry

Structure (POSCAR):
```
Ac5Hg2Ir
1.0
9.6473 0.0000 0.0000
0.0000 8.9502 0.0000
0.0000 0.0000 13.2124
Ac Hg Ir
20 8 4
Cartesian
0.3947 2.2375 6.4622
9.2525 6.7126 6.7502
5.2183 6.7126 0.1440
4.4289 2.2375 13.0684
3.1368 8.6577 7.5313
6.5104 0.2925 5.6811
7.9605 0.2925 12.2874
6.5104 4.1826 5.6811
1.6868 8.6577 0.9251
3.1368 4.7675 7.5313
1.6868 4.7675 0.9251
7.9605 4.1826 12.2874
1.4493 2.2375 10.4523
8.1979 6.7126 2.7601
6.2730 6.7126 9.3663
3.3743 2.2375 3.8461
5.9008 2.2375 9.2582
3.7465 6.7126 3.9542
1.0772 6.7126 10.5604
8.5701 2.2375 2.6520
3.9493 4.7616 10.9367
5.6980 4.1886 2.2757
8.7729 4.1886 8.8819
5.6980 0.2865 2.2757
0.8744 4.7616 4.3305
3.9493 8.6636 10.9367
0.8744 8.6636 4.3305
8.7729 0.2865 8.8819
4.3814 2.2375 6.6563
5.2659 6.7126 6.5561
9.2050 6.7126 13.1623
0.4423 2.2375 0.0501
```

Values from the calculation:
* energy: -4.222 eV per atom
* V: 35.7 A^3/atom
* crystal system: orthorhombic
* ΔE_f: -3.8 eV per formula unit


# 8
Ac6Hg2Ir3 | GGA-PBE | optimized geometry

Structure (POSCAR):
```
Ac6Hg2Ir3
1.0
-4.7027 -5.7748 -1.4750
2.7080 -6.4262 -3.0135
-0.3154 -4.8624 6.8589
Ac Hg Ir
6 2 3
Cartesian
-0.3402 -10.4644 2.9011
-3.7184 -8.1592 4.4205
0.3620 -6.4235 4.3805
-1.2998 -2.4779 0.9634
-1.9700 -6.5989 -0.5307
-2.6722 -10.6398 -2.0100
0.8778 -7.6876 1.1683
-3.1880 -9.3758 1.2021
0.0000 0.0000 0.0000
-0.6661 -4.0661 -1.4956
-1.3286 -8.1348 -2.9929
```

Values from the calculation:
* energy: -5.310 eV per atom
* V: 36.4 A^3/atom
* crystal system: monoclinic
* ΔE_f: -6.6 eV per formula unit


# 9
Ac6Hg5Ir | GGA-PBE | optimized geometry

Structure (POSCAR):
```
Ac6Hg5Ir
1.0
7.7166 0.1034 0.0000
2.0811 8.6850 0.0000
1.0406 4.3425 6.3383
Ac Hg Ir
6 5 1
Cartesian
6.5464 1.9091 2.0299
3.2513 6.8793 2.0299
2.4758 1.7224 0.0000
7.3219 7.0660 0.0000
7.5870 6.2516 4.3084
4.2918 11.2218 4.3084
4.8989 4.3942 3.5721
1.0406 4.3425 1.6082
4.8989 4.3942 0.0000
2.0811 8.6850 4.7301
5.9394 8.7367 2.7661
0.0000 0.0000 0.0000
```

Values from the calculation:
* energy: -3.382 eV per atom
* V: 35.3 A^3/atom
* crystal system: monoclinic
* ΔE_f: -5.6 eV per formula unit


# 10
Ac6HgIr | GGA-PBE | optimized geometry

Structure (POSCAR):
```
Ac6HgIr
1.0
7.4093 0.3132 0.0000
2.0972 7.6402 0.0000
1.0486 3.8201 6.1146
Ac Hg Ir
6 1 1
Cartesian
7.1767 6.3248 3.9584
6.1281 2.5047 2.1562
4.4270 9.2689 3.9584
3.3784 5.4488 2.1562
6.8921 5.9600 0.0000
2.6144 1.9935 0.0000
0.0000 0.0000 0.0000
4.7533 3.9767 0.0000
```

Values from the calculation:
* energy: -4.436 eV per atom
* V: 42.8 A^3/atom
* crystal system: monoclinic
* ΔE_f: -1.7 eV per formula unit


# 11
Ac2HgIr | GGA-PBE | optimized geometry

Structure (POSCAR):
```
Ac2HgIr
1.0
-2.2560 -3.5108 -1.4082
-1.6057 -2.8957 2.9042
-8.1001 2.0710 0.9261
Ac Hg Ir
2 1 1
Cartesian
-6.7409 1.2318 0.8408
-2.6344 -1.3037 0.5832
-5.9784 -2.1692 1.2109
-2.5890 -4.2620 0.9983
```

Values from the calculation:
* energy: -4.956 eV per atom
* V: 33.7 A^3/atom
* crystal system: trigonal
* energy above the most stable polymorph in this dataset: 1.7 meV/atom
* ΔE_f: -2.4 eV per formula unit


# 12
Ac3HgIr2 | GGA-PBE | optimized geometry

Structure (POSCAR):
```
Ac3HgIr2
1.0
-3.5580 -1.1844 -0.5130
-0.0374 -1.4089 3.5126
-4.0255 10.3185 4.0958
Ac Hg Ir
3 1 2
Cartesian
0.0000 0.0000 0.0000
-2.8073 7.1959 2.8563
-1.2182 3.1226 1.2395
-3.8104 3.8626 3.5477
-5.1772 7.3662 4.9384
-2.4436 0.3590 2.1570
```

Values from the calculation:
* energy: -5.546 eV per atom
* V: 28.2 A^3/atom
* crystal system: tetragonal
* ΔE_f: -2.9 eV per formula unit


# 13
Ac6HgIr4 | GGA-PBE | optimized geometry

Structure (POSCAR):
```
Ac6HgIr4
1.0
5.8425 0.0006 -2.1683
-0.8067 5.7865 -2.1686
0.2202 0.2534 9.5355
Ac Hg Ir
6 1 4
Cartesian
0.1455 3.4196 4.7233
3.3665 0.6168 4.7234
4.7211 5.4256 -0.5758
5.4382 2.8953 -3.2503
2.2814 2.6219 1.5271
2.1162 5.7859 -3.2503
5.2532 6.0373 5.1888
4.9816 2.2704 -0.1412
3.2796 3.7691 4.2239
1.5602 5.2475 -0.1414
0.6909 0.7942 6.4576
```

Values from the calculation:
* energy: -5.958 eV per atom
* V: 29.9 A^3/atom
* crystal system: orthorhombic
* ΔE_f: -5.1 eV per formula unit


# 14
Ac2HgIr | GGA-PBE | optimized geometry

Structure (POSCAR):
```
Ac2HgIr
1.0
-3.8897 -1.5947 -1.1907
-0.2284 -3.6915 -2.3263
-1.7103 -6.0816 5.7154
Ac Ir Hg
2 1 1
Cartesian
-1.4399 -2.6217 0.1984
-4.3886 -8.7461 2.0000
0.0000 0.0000 0.0000
-2.9143 -5.6839 1.0992
```

Values from the calculation:
* energy: -4.957 eV per atom
* V: 33.6 A^3/atom
* crystal system: trigonal
* energy above the most stable polymorph in this dataset: 0.0 meV/atom
* ΔE_f: -2.4 eV per formula unit


# 15
Ac5Hg4Ir | GGA-PBE | optimized geometry

Structure (POSCAR):
```
Ac5Hg4Ir
1.0
-0.2057 -1.9244 3.4204
-2.3854 -2.6585 -1.6392
16.2091 -11.2446 -5.3515
Ac Hg Ir
5 4 1
Cartesian
0.0702 -3.2389 0.4397
3.4736 -5.5999 -0.6840
6.8090 -7.9137 -1.7852
10.1444 -10.2275 -2.8864
13.5478 -12.5886 -4.0100
3.1665 -2.1967 -1.0454
6.4368 -4.4653 -2.1251
9.7723 -6.7793 -3.2264
13.0426 -9.0479 -4.3061
0.0000 0.0000 0.0000
```

Values from the calculation:
* energy: -3.536 eV per atom
* V: 31.6 A^3/atom
* crystal system: tetragonal
* ΔE_f: -4.7 eV per formula unit


# 16
AcLaHgIr | GGA-PBE | optimized geometry

Structure (POSCAR):
```
AcLaHgIr
1.0
5.3803 0.0000 0.0000
2.6901 4.6595 0.0000
2.6901 1.5532 4.3930
Ac Ir Hg La
1 1 1 1
Cartesian
8.0704 4.6595 3.2947
0.0000 0.0000 0.0000
5.3803 3.1063 2.1965
2.6901 1.5532 1.0982
```

Values from the calculation:
* energy: -5.017 eV per atom
* V: 27.5 A^3/atom
* crystal system: cubic
* ΔE_f: -1.9 eV per formula unit


# 17
Ac4HgIrN | GGA-PBE | optimized geometry

Structure (POSCAR):
```
Ac4HgIrN
1.0
7.2304 0.0000 0.0117
0.0000 7.4427 0.0000
-2.8225 0.0000 8.5958
Ac Hg Ir N
8 2 2 2
Cartesian
-1.9969 3.6830 6.1823
6.4048 7.4044 2.4252
6.4048 3.7597 2.4252
-1.9969 0.0383 6.1823
2.7387 5.5820 1.2880
1.6692 1.8607 7.3195
1.5885 5.5820 4.9416
2.8194 1.8607 3.6659
2.8613 5.5820 8.0773
1.5466 1.8607 0.5303
4.3535 5.5820 3.8697
0.0544 1.8607 4.7378
0.7642 5.5820 2.6534
3.6437 1.8607 5.9541
```

Values from the calculation:
* energy: -5.517 eV per atom
* V: 33.1 A^3/atom
* crystal system: monoclinic
* energy relative to the elements, uncorrected: -0.671 eV/atom


# 18
AcNdHgIr | GGA-PBE | optimized geometry

Structure (POSCAR):
```
AcNdHgIr
1.0
-0.6485 -1.2613 4.0974
2.9212 -2.5176 1.9819
3.7352 6.3333 2.5419
Ac Nd Hg Ir
1 1 1 1
Cartesian
3.5190 1.8848 4.8189
0.5013 -0.6868 1.2538
3.0680 -1.4236 6.0227
5.0633 1.9596 7.3804
```

Values from the calculation:
* energy: -5.079 eV per atom
* V: 31.7 A^3/atom
* crystal system: trigonal
* energy above the most stable polymorph in this dataset: 0.0 meV/atom
* ΔE_f: -2.3 eV per formula unit


# 19
AcNdHgIr | GGA-PBE | optimized geometry

Structure (POSCAR):
```
AcNdHgIr
1.0
5.3428 0.0000 0.0000
2.6714 4.6270 0.0000
2.6714 1.5423 4.3624
Ac Ir Nd Hg
1 1 1 1
Cartesian
8.0142 4.6270 3.2718
0.0000 0.0000 0.0000
2.6714 1.5423 1.0906
5.3428 3.0847 2.1812
```

Values from the calculation:
* energy: -4.947 eV per atom
* V: 27.0 A^3/atom
* crystal system: cubic
* energy above the most stable polymorph in this dataset: 132.6 meV/atom
* ΔE_f: -1.7 eV per formula unit


# 20
Ac4NiHgIr2 | GGA-PBE | optimized geometry

Structure (POSCAR):
```
Ac4NiHgIr2
1.0
4.5913 0.0000 0.0000
-2.2957 7.2728 0.0000
0.0000 0.0000 14.7359
Ac Ni Hg Ir
8 2 2 4
Cartesian
0.0000 3.8303 1.5406
2.2956 3.4425 8.9085
2.2956 3.4425 13.1953
0.0000 3.8303 5.8274
0.0000 0.0000 7.3679
0.0000 0.0000 0.0000
0.0000 6.7947 11.0519
2.2957 0.4781 3.6840
2.2957 5.3379 11.0519
0.0000 1.9349 3.6840
0.0000 1.9625 11.0519
2.2957 5.3103 3.6840
0.0000 5.3746 8.3652
2.2957 1.8982 0.9973
2.2957 1.8982 6.3707
0.0000 5.3746 13.7386
```

Values from the calculation:
* energy: -5.404 eV per atom
* V: 30.8 A^3/atom
* crystal system: orthorhombic
* ΔE_f: -3.0 eV per formula unit